MnZnAg2 | GGA-PBEsol | relaxed

Calculated values
Volume, Å³/cell: 60
DOS(E_F), states/eV/atom: 0.599
Calculated total energy, eV per cell: -17.4
Crystal system: tetragonal
Space group: P4mm

Cell and atoms, written as CIF:
```
data_MnZnAg2
_chemical_formula_sum 'Mn1 Zn1 Ag2'
_symmetry_space_group_name_H-M 'P 1'
_symmetry_Int_Tables_number 1
_symmetry_space_group_name_Hall 'P 1'
_cell_length_a 2.8229
_cell_length_b 2.8229
_cell_length_c 7.5059
_cell_angle_alpha 90.00
_cell_angle_beta 90.00
_cell_angle_gamma 90.00
loop_
_atom_site_label
_atom_site_type_symbol
_atom_site_fract_x
_atom_site_fract_y
_atom_site_fract_z
_atom_site_occupancy
Mn1 Mn 0.0000 0.0000 0.0000 1
Zn1 Zn 0.5000 0.5000 0.2208 1
Ag1 Ag 0.0000 0.0000 0.4687 1
Ag2 Ag 0.5000 0.5000 0.7462 1
```